NpUCoCu | Alexandria via LeMat-Bulk | GGA-PBE | relaxed; formation energy from the elements = -0.009 eV/atom; total magnetization = 5.0 Bohr magnetons per cell; final energy = -8.8662 eV per atom
1.0
0.000 3.184 3.184
3.184 0.000 3.184
3.184 3.184 0.000
Np U Co Cu
1 1 1 1
Cartesian
0.000 0.000 0.000
1.592 1.592 1.592
3.184 3.184 3.184
4.776 4.776 4.776